No. 1
Below is a relaxed structure of Ba2RhO5, with properties calculated at the PBE-GGA level.

a b c (Å): 7.4723 5.7623 11.6610
angles (deg): 90.00 90.00 90.00
Sites, in units of the cell vectors:
Ba: 0.0221 0.2500 0.2075
Ba: 0.1709 0.7500 0.4204
Ba: 0.3291 0.2500 0.9204
Ba: 0.4779 0.7500 0.7075
Ba: 0.5221 0.2500 0.2925
Ba: 0.6709 0.7500 0.0796
Ba: 0.8291 0.2500 0.5796
Ba: 0.9779 0.7500 0.7925
Rh: 0.1749 0.7500 0.0640
Rh: 0.3251 0.2500 0.5640
Rh: 0.6749 0.7500 0.4360
Rh: 0.8251 0.2500 0.9360
O: 0.0000 0.0000 0.0000
O: 0.0000 0.5000 0.0000
O: 0.0312 0.7500 0.1997
O: 0.1750 0.0072 0.6172
O: 0.1750 0.4928 0.6172
O: 0.2105 0.2500 0.4096
O: 0.2895 0.7500 0.9096
O: 0.3250 0.5072 0.1172
O: 0.3250 0.9928 0.1172
O: 0.4688 0.2500 0.6997
O: 0.5000 0.0000 0.5000
O: 0.5000 0.5000 0.5000
O: 0.5312 0.7500 0.3003
O: 0.6750 0.0072 0.8828
O: 0.6750 0.4928 0.8828
O: 0.7105 0.2500 0.0904
O: 0.7895 0.7500 0.5904
O: 0.8250 0.5072 0.3828
O: 0.8250 0.9928 0.3828
O: 0.9688 0.2500 0.8003

Computed properties:
Uncorrected formation energy: -1288 kJ/mol of formula units
Space-group type: Pnma (62)
Total magnetic moment: 2.998 μB/f.u.
Calculated total energy: -0.4533 Ry/atom

***

No. 2
Below is a relaxed structure of BaRh2O, with properties calculated at the PBE-GGA level.

a b c (Å): 7.4841 7.4841 7.4841
angles (deg): 140.08 140.08 57.73
Sites, in units of the cell vectors:
Ba: 0.3750 0.6250 0.7500
Ba: 0.6250 0.3750 0.2500
Rh: 0.0000 0.0000 0.0000
Rh: 0.0000 0.0000 0.5000
Rh: 0.0000 0.5000 0.0000
Rh: 0.5000 0.0000 0.5000
O: 0.1250 0.8750 0.2500
O: 0.8750 0.1250 0.7500

Computed properties:
Uncorrected formation energy: -170 kJ/mol of formula units
Space-group type: I4_1/amd (141)
Total magnetic moment: 0.000 μB/f.u.
Calculated total energy: -0.4289 Ry/atom

***

No. 3
Below is a relaxed structure of BaRhO3, with properties calculated at the PBE-GGA level.

a b c (Å): 4.5228 4.5228 4.5228
angles (deg): 90.00 90.00 90.00
Sites, in units of the cell vectors:
Ba: 0.0000 0.0000 0.0000
Rh: 0.5000 0.5000 0.5000
O: 0.0000 0.0000 0.5000
O: 0.0000 0.5000 0.0000
O: 0.5000 0.0000 0.0000

Computed properties:
Uncorrected formation energy: 274 kJ/mol of formula units
Space-group type: Pm-3m (221)
Total magnetic moment: 2.779 μB/f.u.
Calculated total energy: -0.3133 Ry/atom